RbScRh2Au after structural relaxation, computed with PBE.

Results
- electronic total energy (eV/f.u.) = -23.275
- magnetization (μB/f.u.) = 0.00

Lattice parameters (Å, degrees): 4.831 5.419 4.831 90.00 90.00 90.00
Fractional coordinates of all 5 atoms:
Rh1 0.000 0.000 0.500
Rh2 0.500 0.000 0.000
Sc1 0.000 0.000 0.000
Au1 0.000 0.500 0.000
Rb1 0.500 0.500 0.500